PBE Li2Co, optimized geometry; symmetry = No. 205
1.0
5.891 0.000 0.000
0.000 5.891 0.000
0.000 0.000 5.891
Li Co
8 4
direct
0.134 0.134 0.134 Li
0.134 0.366 0.634 Li
0.366 0.634 0.134 Li
0.366 0.866 0.634 Li
0.634 0.134 0.366 Li
0.634 0.366 0.866 Li
0.866 0.634 0.366 Li
0.866 0.866 0.866 Li
0.000 0.000 0.500 Co
0.000 0.500 0.000 Co
0.500 0.000 0.000 Co
0.500 0.500 0.500 Co


PBE SrGeCl3, optimized geometry; uncorrected formation energy = -508 kJ/mol of formula units; symmetry = No. 221; polymorph energy (0 for the lowest one) = 0 meV/atom
1.0
5.604 0.000 0.000
0.000 5.604 0.000
0.000 0.000 5.604
Sr Ge Cl
1 1 3
direct
0.000 0.000 0.000 Sr
0.500 0.500 0.500 Ge
0.000 0.000 0.500 Cl
0.000 0.500 0.000 Cl
0.500 0.000 0.000 Cl


PBE Mn2OsN, optimized geometry; uncorrected formation energy = -50 kJ/mol of formula units; symmetry = No. 160
1.0
2.747 0.000 0.000
-1.373 2.379 0.000
0.000 0.000 19.558
Mn Os N
6 3 3
direct
0.000 0.000 0.000 Mn
0.000 0.000 0.216 Mn
0.333 0.667 0.667 Mn
0.333 0.667 0.883 Mn
0.667 0.333 0.333 Mn
0.667 0.333 0.549 Mn
0.000 0.000 0.445 Os
0.333 0.667 0.111 Os
0.667 0.333 0.778 Os
0.000 0.000 0.607 N
0.333 0.667 0.274 N
0.667 0.333 0.940 N


PBE AlSb2W, optimized geometry; uncorrected formation energy = 143 kJ/mol of formula units; symmetry = No. 35
1.0
4.065 0.000 0.000
0.000 4.569 0.000
0.000 0.000 9.750
Al Sb W
2 4 2
direct
0.000 0.000 0.000 Al
0.500 0.500 0.000 Al
0.000 0.000 0.614 Sb
0.000 0.500 0.235 Sb
0.500 0.000 0.235 Sb
0.500 0.500 0.614 Sb
0.000 0.500 0.819 W
0.500 0.000 0.819 W


PBE CeAlCdPt3, optimized geometry; symmetry = No. 63
1.0
3.629 -6.085 0.000
3.629 6.085 0.000
0.000 0.000 5.758
Ce Al Cd Pt
2 2 2 6
direct
0.192 0.808 0.750 Ce
0.808 0.192 0.250 Ce
0.120 0.880 0.250 Al
0.880 0.120 0.750 Al
0.447 0.553 0.750 Cd
0.553 0.447 0.250 Cd
0.197 0.197 0.000 Pt
0.197 0.197 0.500 Pt
0.315 0.685 0.250 Pt
0.685 0.315 0.750 Pt
0.803 0.803 0.000 Pt
0.803 0.803 0.500 Pt


PBE Sm2HoEr3Bi6, optimized geometry; symmetry = No. 12
1.0
9.774 -2.243 0.000
9.774 2.243 0.000
-2.046 0.000 8.736
Sm Ho Er Bi
2 1 3 6
direct
0.166 0.166 0.333 Sm
0.834 0.834 0.667 Sm
0.500 0.500 0.000 Ho
0.168 0.168 0.834 Er
0.500 0.500 0.500 Er
0.832 0.832 0.166 Er
0.002 0.002 0.751 Bi
0.334 0.334 0.922 Bi
0.335 0.335 0.412 Bi
0.665 0.665 0.588 Bi
0.666 0.666 0.078 Bi
0.998 0.998 0.249 Bi


PBE K2FeAs, optimized geometry; symmetry = No. 123
1.0
4.356 0.000 0.000
0.000 4.356 0.000
0.000 0.000 5.274
K Fe As
2 1 1
direct
0.000 0.500 0.000 K
0.500 0.000 0.000 K
0.000 0.000 0.500 Fe
0.500 0.500 0.500 As


PBE RbBrN2, optimized geometry; uncorrected formation energy = 887 kJ/mol of formula units; symmetry = No. 225; polymorph energy (0 for the lowest one) = 3110 meV/atom
1.0
6.560 0.000 0.000
0.000 6.560 0.000
0.000 0.000 6.560
Rb Br N
4 4 8
direct
0.000 0.000 0.000 Rb
0.000 0.500 0.500 Rb
0.500 0.000 0.500 Rb
0.500 0.500 0.000 Rb
0.000 0.000 0.500 Br
0.000 0.500 0.000 Br
0.500 0.000 0.000 Br
0.500 0.500 0.500 Br
0.250 0.250 0.250 N
0.250 0.250 0.750 N
0.250 0.750 0.250 N
0.250 0.750 0.750 N
0.750 0.250 0.250 N
0.750 0.250 0.750 N
0.750 0.750 0.250 N
0.750 0.750 0.750 N


| no. | final energy (eV per atom) |
| --- | --- |
| 1 | -2.8657 |
| 2 | -3.4203 |
| 3 | -9.6026 |
| 4 | -5.8644 |
| 5 | -5.3548 |
| 6 | -5.1015 |
| 7 | -3.2736 |
| 8 | -2.5243 |